A plane-wave DFT calculation with PBE was carried out for a relaxed structure of Ac2Ce3Pb4.

```
data_Ac2Ce3Pb4
_chemical_formula_sum 'Ac8 Ce12 Pb16'
_space_group_name_H-M_alt 'C m c e'
_space_group_IT_number 64
_space_group_name_Hall '-C 2ac 2'
_cell_length_a 7.255
_cell_length_b 18.206
_cell_length_c 9.462
_cell_angle_alpha 90.00
_cell_angle_beta 90.00
_cell_angle_gamma 90.00
loop_
_atom_site_label
_atom_site_fract_x
_atom_site_fract_y
_atom_site_fract_z
Ac1 0.000 0.112 0.082
Ce1 0.000 0.000 0.500
Ce2 0.250 0.208 0.750
Pb1 0.000 0.182 0.447
Pb2 0.250 0.034 0.750
```

The calculation puts the total DFT energy (no corrections) at -44.3 eV per formula unit. For the total magnetization, the calculation gives 13.25 μB/cell. Its formation energy is -36.7 kJ/mol of atoms. The distance to the lowest polymorph of the same formula comes out at 98.4 meV/atom.